No. 1
An optimized crystal structure of Li2CdPd3. Source: the Alexandria database, functional PBE.

Structure (POSCAR):
```
Li2CdPd3
1.0
4.394 0.000 0.000
-2.197 3.806 0.000
0.000 0.000 5.429
Li Cd Pd
2 1 3
Direct
0.333 0.667 0.179 Li
0.667 0.333 0.821 Li
0.000 0.000 0.500 Cd
0.000 0.000 0.000 Pd
0.333 0.667 0.698 Pd
0.667 0.333 0.302 Pd
```

- SG = P-3m1

No. 2
An optimized crystal structure of YW. Source: the Alexandria database, functional PBE.

Structure (POSCAR):
```
YW
1.0
3.036 0.000 0.000
-1.518 2.629 0.000
0.000 0.000 5.279
Y W
1 1
Direct
0.000 0.000 0.000 Y
0.667 0.333 0.500 W
```

- SG = P-6m2

Number 1: DFT total energy -22.9 eV per formula unit, E_form -434 meV per atom, M_tot 0.000 μB per formula unit. Number 2: DFT total energy -17.7 eV per formula unit, E_form 859 meV per atom, M_tot 0.000 μB per formula unit.